A plane-wave DFT calculation with PBE-GGA was carried out for a relaxed BaAlPO2 crystal.

```
data_BaAlPO2
_cell_length_a 4.1184
_cell_length_b 4.1184
_cell_length_c 4.7056
_cell_angle_alpha 90.00
_cell_angle_beta 90.00
_cell_angle_gamma 90.00
_space_group_name_H-M_alt 'P 4/m m m'
_space_group_IT_number 123
_space_group_name_Hall '-P 4 2'
loop_
_atom_site_label
_atom_site_fract_x
_atom_site_fract_y
_atom_site_fract_z
_atom_site_occupancy
Ba1 0.0000 0.0000 0.0000 1
Al1 0.5000 0.5000 0.5000 1
P1 0.5000 0.5000 0.0000 1
O1 0.0000 0.5000 0.5000 1
```

- E (eV/atom) = -5.482
- volume (Å³/cell) = 80
- magnetic moment (μB per formula unit) = 0.77
- ΔE to the lowest computed polymorph (eV/f.u.) = 0.00
- raw formation energy (eV/atom) = -1.2836

A plane-wave DFT calculation with PBE-GGA was carried out for a relaxed CdRe2Ag crystal.

```
data_CdRe2Ag
_cell_length_a 5.3326
_cell_length_b 9.3269
_cell_length_c 2.6959
_cell_angle_alpha 90.00
_cell_angle_beta 90.00
_cell_angle_gamma 90.00
_space_group_name_H-M_alt 'C m m m'
_space_group_IT_number 65
_space_group_name_Hall '-C 2 2'
loop_
_atom_site_label
_atom_site_fract_x
_atom_site_fract_y
_atom_site_fract_z
_atom_site_occupancy
Cd1 0.0000 0.0000 0.0000 1
Re1 0.2500 0.2500 0.5000 1
Ag1 0.0000 0.5000 0.0000 1
```

- E (eV/atom) = -6.371
- volume (Å³/cell) = 134
- magnetic moment (μB per formula unit) = 0.00
- ΔE_f (eV/atom) = 0.794

A plane-wave DFT calculation with PBE-GGA was carried out for a relaxed La6PrGa2 crystal.

```
data_La6PrGa2
_cell_length_a 13.1125
_cell_length_b 3.8761
_cell_length_c 12.1633
_cell_angle_alpha 90.00
_cell_angle_beta 108.76
_cell_angle_gamma 90.00
_space_group_name_H-M_alt 'C 1 2/m 1'
_space_group_IT_number 12
_space_group_name_Hall '-C 2y'
loop_
_atom_site_label
_atom_site_fract_x
_atom_site_fract_y
_atom_site_fract_z
_atom_site_occupancy
La1 0.0296 0.0000 0.3262 1
La2 0.1860 0.5000 0.8749 1
La3 0.1916 0.5000 0.5970 1
Pr1 0.0000 0.0000 0.0000 1
Ga1 0.1490 0.5000 0.1960 1
```

- E (eV/atom) = -4.733
- volume (Å³/cell) = 585
- magnetic moment (μB per formula unit) = 0.00
- ΔE_f (eV/atom) = -0.244

A plane-wave DFT calculation with PBE-GGA was carried out for a relaxed KSbP3 crystal.

```
data_KSbP3
_cell_length_a 5.1601
_cell_length_b 5.1601
_cell_length_c 5.1601
_cell_angle_alpha 90.00
_cell_angle_beta 90.00
_cell_angle_gamma 90.00
_space_group_name_H-M_alt 'P m -3 m'
_space_group_IT_number 221
_space_group_name_Hall '-P 4 2 3'
loop_
_atom_site_label
_atom_site_fract_x
_atom_site_fract_y
_atom_site_fract_z
_atom_site_occupancy
K1 0.0000 0.0000 0.0000 1
Sb1 0.5000 0.5000 0.5000 1
P1 0.0000 0.0000 0.5000 1
```

- E (eV/atom) = -2.387
- volume (Å³/cell) = 137
- magnetic moment (μB per formula unit) = 0.00
- ΔE to the lowest computed polymorph (eV/f.u.) = 6.07
- raw formation energy (eV/atom) = 1.9033

A plane-wave DFT calculation with PBE-GGA was carried out for a relaxed CrRuN2 crystal.

```
data_CrRuN2
_cell_length_a 4.4468
_cell_length_b 4.4468
_cell_length_c 8.9991
_cell_angle_alpha 90.00
_cell_angle_beta 90.00
_cell_angle_gamma 90.00
_space_group_name_H-M_alt 'I -4 2 d'
_space_group_IT_number 122
_space_group_name_Hall 'I -4 2bw'
loop_
_atom_site_label
_atom_site_fract_x
_atom_site_fract_y
_atom_site_fract_z
_atom_site_occupancy
Cr1 0.0000 0.0000 0.0000 1
Ru1 0.0000 0.0000 0.5000 1
N1 0.2226 0.2500 0.1250 1
```

- E (eV/atom) = -8.986
- volume (Å³/cell) = 178
- magnetic moment (μB per formula unit) = 1.35
- ΔE to the lowest computed polymorph (eV/f.u.) = 0.00
- raw formation energy (eV/atom) = -0.0990

A plane-wave DFT calculation with PBE-GGA was carried out for a relaxed Nb2SiRh6 crystal.

```
data_Nb2SiRh6
_cell_length_a 4.0790
_cell_length_b 6.0173
_cell_length_c 12.3967
_cell_angle_alpha 90.00
_cell_angle_beta 90.00
_cell_angle_gamma 90.00
_space_group_name_H-M_alt 'I m m m'
_space_group_IT_number 71
_space_group_name_Hall '-I 2 2'
loop_
_atom_site_label
_atom_site_fract_x
_atom_site_fract_y
_atom_site_fract_z
_atom_site_occupancy
Nb1 0.0000 0.0000 0.1616 1
Si1 0.0000 0.0000 0.5000 1
Rh1 0.0000 0.2366 0.3386 1
Rh2 0.0000 0.2690 0.0000 1
```

- E (eV/atom) = -8.053
- volume (Å³/cell) = 304
- magnetic moment (μB per formula unit) = 0.00
- raw formation energy (eV/atom) = -0.3119

A plane-wave DFT calculation with PBE-GGA was carried out for a relaxed Nd15Tm4Tl crystal.

```
data_Nd15Tm4Tl
_cell_length_a 5.0972
_cell_length_b 5.0972
_cell_length_c 25.7016
_cell_angle_alpha 90.00
_cell_angle_beta 90.00
_cell_angle_gamma 90.00
_space_group_name_H-M_alt 'P 4/m m m'
_space_group_IT_number 123
_space_group_name_Hall '-P 4 2'
loop_
_atom_site_label
_atom_site_fract_x
_atom_site_fract_y
_atom_site_fract_z
_atom_site_occupancy
Nd1 0.0000 0.0000 0.0000 1
Nd2 0.0000 0.0000 0.1979 1
Nd3 0.0000 0.0000 0.3993 1
Nd4 0.0000 0.5000 0.0978 1
Nd5 0.0000 0.5000 0.2990 1
Nd6 0.0000 0.5000 0.5000 1
Tm1 0.5000 0.5000 0.1986 1
Tm2 0.5000 0.5000 0.3997 1
Tl1 0.5000 0.5000 0.0000 1
```

- E (eV/atom) = -4.614
- volume (Å³/cell) = 668
- magnetic moment (μB per formula unit) = 0.00
- ΔE_f (eV/atom) = -0.025

A plane-wave DFT calculation with PBE-GGA was carried out for a relaxed Rb3TeI8 crystal.

```
data_Rb3TeI8
_cell_length_a 11.4979
_cell_length_b 11.4979
_cell_length_c 9.8984
_cell_angle_alpha 90.00
_cell_angle_beta 90.00
_cell_angle_gamma 120.00
_space_group_name_H-M_alt 'P 63 m c'
_space_group_IT_number 186
_space_group_name_Hall 'P 6c -2c'
loop_
_atom_site_label
_atom_site_fract_x
_atom_site_fract_y
_atom_site_fract_z
_atom_site_occupancy
Rb1 0.1493 0.2985 0.0000 1
Te1 0.3333 0.6667 0.4397 1
I1 0.0000 0.0000 0.2563 1
I2 0.0907 0.5453 0.2759 1
I3 0.2057 0.4114 0.6112 1
I4 0.3333 0.6667 0.9412 1
```

- E (eV/atom) = -2.274
- volume (Å³/cell) = 1133
- magnetic moment (μB per formula unit) = 1.03
- raw formation energy (eV/atom) = -0.7366

Number 1: calculated density 4.73 Mg/m³. Number 2: calculated density 14.68 Mg/m³. Number 3: calculated density 6.32 Mg/m³. Number 4: calculated density 3.07 Mg/m³. Number 5: calculated density 6.76 Mg/m³. Number 6: calculated density 9.07 Mg/m³. Number 7: calculated density 7.57 Mg/m³. Number 8: calculated density 4.10 Mg/m³.